A geometry-optimized V2MoRh9 structure. Source: Alexandria via LeMat-Bulk, functional PBE.

Final energy (eV/atom): -8.257
Total moment (μB/f.u.): 0.000
Formation energy (eV per atom): -0.3211

CIF file:
```
data_V2MoRh9
_chemical_formula_sum 'V2 Mo1 Rh9'
_cell_length_a 3.830
_cell_length_b 3.830
_cell_length_c 11.487
_cell_angle_alpha 90.00
_cell_angle_beta 90.00
_cell_angle_gamma 90.00
_space_group_name_H-M_alt 'P 4/m m m'
_space_group_IT_number 123
_space_group_name_Hall '-P 4 2'
loop_
_atom_site_label
_atom_site_type_symbol
_atom_site_fract_x
_atom_site_fract_y
_atom_site_fract_z
V1 V 0.000 0.000 0.163
Mo1 Mo 0.000 0.000 0.500
Rh1 Rh 0.000 0.500 0.000
Rh2 Rh 0.000 0.500 0.331
Rh3 Rh 0.500 0.500 0.166
Rh4 Rh 0.500 0.500 0.500
```



A geometry-optimized V2MoRh structure. Source: Alexandria via LeMat-Bulk, functional PBE.

Final energy (eV/atom): -8.712
Total moment (μB/f.u.): 0.000
Formation energy (eV per atom): 0.3928

CIF file:
```
data_V2MoRh
_chemical_formula_sum 'V8 Mo4 Rh4'
_cell_length_a 6.836
_cell_length_b 6.836
_cell_length_c 5.220
_cell_angle_alpha 90.00
_cell_angle_beta 90.00
_cell_angle_gamma 90.00
_space_group_name_H-M_alt 'I -4 2 d'
_space_group_IT_number 122
_space_group_name_Hall 'I -4 2bw'
loop_
_atom_site_label
_atom_site_type_symbol
_atom_site_fract_x
_atom_site_fract_y
_atom_site_fract_z
V1 V 0.243 0.250 0.125
Mo1 Mo 0.000 0.000 0.500
Rh1 Rh 0.000 0.000 0.000
```



A geometry-optimized V2MoRh5 structure. Source: Alexandria via LeMat-Bulk, functional PBE.

E above lowest polymorph (meV/atom): 0.0
Final energy (eV/atom): -8.538
Total moment (μB/f.u.): 0.000
Formation energy (eV per atom): -0.3100

CIF file:
```
data_V2MoRh5
_chemical_formula_sum 'V4 Mo2 Rh10'
_cell_length_a 5.419
_cell_length_b 10.853
_cell_length_c 3.835
_cell_angle_alpha 90.00
_cell_angle_beta 90.00
_cell_angle_gamma 90.00
_space_group_name_H-M_alt 'P b a m'
_space_group_IT_number 55
_space_group_name_Hall '-P 2 2ab'
loop_
_atom_site_label
_atom_site_type_symbol
_atom_site_fract_x
_atom_site_fract_y
_atom_site_fract_z
V1 V 0.239 0.128 0.000
Mo1 Mo 0.000 0.500 0.500
Rh1 Rh 0.000 0.000 0.500
Rh2 Rh 0.009 0.749 0.500
Rh3 Rh 0.244 0.377 0.000
```



Which value of final energy does entry 1 give? -8.257 eV/atom



Number 3 is which compound? V2MoRh5